(1)
Density functional theory data (GGA-PBE) for an optimized crystal structure of SrPuAl4.

Summary:
Final energy in eV per atom: -5.3942
Crystal system: cubic
M_tot in Bohr magnetons per cell: 23.4
Fermi-level density of states in states/eV/f.u.: 14.98

a b c (Å): 8.045 8.045 8.045
angles (deg): 90.00 90.00 90.00
Space group F-43m (No. 216)
Unique sites:
Sr 0.000 0.000 0.000
Pu 0.250 0.250 0.750
Al 0.124 0.124 0.376


(2)
Density functional theory data (GGA-PBE) for an optimized crystal structure of LuHf2Re.

Summary:
Final energy in eV per atom: -9.2919
Crystal system: tetragonal
M_tot in Bohr magnetons per cell: 0.0
Fermi-level density of states in states/eV/f.u.: 5.47

a b c (Å): 3.312 3.312 8.007
angles (deg): 90.00 90.00 90.00
Space group P4/mmm (No. 123)
Unique sites:
Lu 0.000 0.000 0.000
Hf 0.500 0.500 0.307
Re 0.000 0.000 0.500


(3)
Density functional theory data (GGA-PBE) for an optimized crystal structure of Tb2ErRe.

Summary:
Final energy in eV per atom: -6.2667
Crystal system: trigonal
M_tot in Bohr magnetons per cell: 0.0
Fermi-level density of states in states/eV/f.u.: 4.16

a b c (Å): 4.9179 4.9179 14.2229
angles (deg): 90.00 90.00 120.00
Space group R-3m (No. 166, hexagonal axes)
Unique sites:
Tb 0.0000 0.0000 0.2323
Er 0.0000 0.0000 0.0000
Re 0.0000 0.0000 0.5000


(4)
Density functional theory data (GGA-PBE) for an optimized crystal structure of MnHgPd5.

Summary:
Energy above the most stable polymorph in this dataset in meV per atom: 673
Final energy in eV per atom: -4.4573
Crystal system: orthorhombic
M_tot in Bohr magnetons per cell: 10.6
Fermi-level density of states in states/eV/f.u.: 6.92

a b c (Å): 5.229 8.860 7.511
angles (deg): 90.00 90.00 90.00
Space group Imm2 (No. 44)
Unique sites:
Mn 0.000 0.000 0.000
Hg 0.000 0.500 0.873
Pd 0.000 0.252 0.670
Pd 0.000 0.500 0.495
Pd 0.250 0.000 0.693


(5)
Density functional theory data (GGA-PBE) for an optimized crystal structure of KTe4Pd.

Summary:
Final energy in eV per atom: -3.4350
Crystal system: monoclinic
M_tot in Bohr magnetons per cell: 0.0
Fermi-level density of states in states/eV/f.u.: 3.59

a b c (Å): 17.149 6.675 6.467
angles (deg): 90.00 94.62 90.00
Space group C2/m (No. 12)
Unique sites:
K 0.192 0.000 0.172
Te 0.000 0.247 0.000
Te 0.113 0.259 0.638
Te 0.218 0.500 0.310
Pd 0.052 0.500 0.316


(6)
Density functional theory data (GGA-PBE) for an optimized crystal structure of PrHo2ErSc4.

Summary:
Final energy in eV per atom: -5.0378
Crystal system: monoclinic
M_tot in Bohr magnetons per cell: 12.9
Fermi-level density of states in states/eV/f.u.: 17.70

a b c (Å): 13.040 12.663 6.534
angles (deg): 90.00 120.07 90.00
Space group C2/c (No. 15)
Unique sites:
Pr 0.000 0.000 0.000
Ho 0.000 0.500 0.000
Ho 0.250 0.250 0.000
Er 0.250 0.250 0.500
Sc 0.000 0.252 0.000
Sc 0.247 0.500 0.498